TaMoAs GGA-PBEsol relaxed; magnetization = 0.0 μB per cell; space group = No. 156; energy = -0.71210 Ry/atom; calculated formation energy = 0.4 eV per formula unit; DOS at the Fermi energy = 2.383 states/eV per cell
1.0
3.003 0.000 0.000
-1.502 2.601 0.000
0.000 0.000 6.258
Mo Ta As
1 1 1
Cartesian
0.000 1.734 4.307
1.502 0.867 2.021
0.000 0.000 6.188